Here is an optimized crystal structure of MnIn2Cl2F2 from the Alexandria database. Energies are from PBE+U.

It has space group C2/m (No. 12), with a = 12.7183 Å, b = 3.7679 Å, c = 7.4114 Å, α = 90.00°, β = 109.87° and γ = 90.00°. The asymmetric unit holds Mn at (0.0000, 0.0000, 0.0000), In at (0.2095, 0.0000, 0.7350), Cl at (0.0248, 0.5000, 0.2487) and F at (0.1759, 0.0000, 0.0514).

The theoretical density comes out at 3.9 g/cm³. The calculated total energy is -4.50 eV per atom. Its crystal system is monoclinic.